# PBE Ta2PCl, relaxed
data_Ta2PCl
_chemical_formula_sum 'Ta2 P1 Cl1'
_cell_length_a 2.905
_cell_length_b 2.905
_cell_length_c 9.507
_cell_angle_alpha 90.00
_cell_angle_beta 90.00
_cell_angle_gamma 90.00
_space_group_name_H-M_alt 'P 4 m m'
_space_group_IT_number 99
_space_group_name_Hall 'P 4 -2'
loop_
_atom_site_label
_atom_site_fract_x
_atom_site_fract_y
_atom_site_fract_z
_atom_site_occupancy
Ta1 0.000 0.000 0.000 1
Ta2 0.500 0.500 0.236 1
P1 0.500 0.500 0.809 1
Cl1 0.000 0.000 0.419 1
# Polymorph energy (0 for the lowest one) (meV per atom): 157



# PBE Tc2MoW, relaxed
data_Tc2MoW
_chemical_formula_sum 'Tc4 Mo2 W2'
_cell_length_a 3.118
_cell_length_b 4.474
_cell_length_c 8.809
_cell_angle_alpha 90.00
_cell_angle_beta 90.00
_cell_angle_gamma 90.00
_space_group_name_H-M_alt 'C m m m'
_space_group_IT_number 65
_space_group_name_Hall '-C 2 2'
loop_
_atom_site_label
_atom_site_fract_x
_atom_site_fract_y
_atom_site_fract_z
_atom_site_occupancy
Tc1 0.000 0.000 0.250 1
Mo1 0.000 0.500 0.000 1
W1 0.000 0.500 0.500 1
# Energy of formation (eV per atom): 0.113
# Polymorph energy (0 for the lowest one) (meV per atom): 45



# PBE K2BaFe, relaxed
data_K2BaFe
_chemical_formula_sum 'K4 Ba2 Fe2'
_cell_length_a 3.940
_cell_length_b 5.084
_cell_length_c 20.100
_cell_angle_alpha 90.00
_cell_angle_beta 90.00
_cell_angle_gamma 90.00
_space_group_name_H-M_alt 'I m m m'
_space_group_IT_number 71
_space_group_name_Hall '-I 2 2'
loop_
_atom_site_label
_atom_site_fract_x
_atom_site_fract_y
_atom_site_fract_z
_atom_site_occupancy
K1 0.000 0.000 0.162 1
Ba1 0.000 0.500 0.000 1
Fe1 0.000 0.500 0.500 1
# Energy of formation (eV per atom): 0.618
# Polymorph energy (0 for the lowest one) (meV per atom): 19



# PBE KNiCl2, relaxed
data_KNiCl2
_chemical_formula_sum 'K1 Ni1 Cl2'
_cell_length_a 3.669
_cell_length_b 3.669
_cell_length_c 7.173
_cell_angle_alpha 90.00
_cell_angle_beta 90.00
_cell_angle_gamma 90.00
_space_group_name_H-M_alt 'P 4 m m'
_space_group_IT_number 99
_space_group_name_Hall 'P 4 -2'
loop_
_atom_site_label
_atom_site_fract_x
_atom_site_fract_y
_atom_site_fract_z
_atom_site_occupancy
K1 0.000 0.000 0.000 1
Ni1 0.500 0.500 0.482 1
Cl1 0.000 0.000 0.423 1
Cl2 0.500 0.500 0.804 1
# Polymorph energy (0 for the lowest one) (meV per atom): 220



# PBE CaLa2Co2, relaxed
data_CaLa2Co2
_chemical_formula_sum 'Ca2 La4 Co4'
_cell_length_a 8.343
_cell_length_b 8.343
_cell_length_c 3.277
_cell_angle_alpha 90.00
_cell_angle_beta 90.00
_cell_angle_gamma 90.00
_space_group_name_H-M_alt 'P 4/m b m'
_space_group_IT_number 127
_space_group_name_Hall '-P 4 2ab'
loop_
_atom_site_label
_atom_site_fract_x
_atom_site_fract_y
_atom_site_fract_z
_atom_site_occupancy
Ca1 0.000 0.000 0.000 1
La1 0.142 0.358 0.000 1
Co1 0.162 0.662 0.500 1
# Energy of formation (eV per atom): 0.174
# Polymorph energy (0 for the lowest one) (meV per atom): 227



Computed, not measured: NaErTiO4 after structural relaxation at the PBE level of DFT.

Structure (CIF):
```
data_NaErTiO4
_chemical_formula_sum 'Na4 Er4 Ti4 O16'
_cell_length_a 6.161
_cell_length_b 6.726
_cell_length_c 8.944
_cell_angle_alpha 90.00
_cell_angle_beta 90.00
_cell_angle_gamma 90.00
_space_group_name_H-M_alt 'I m m a'
_space_group_IT_number 74
_space_group_name_Hall '-I 2b 2'
loop_
_atom_site_label
_atom_site_fract_x
_atom_site_fract_y
_atom_site_fract_z
_atom_site_occupancy
Na1 0.250 0.250 0.250 1
Er1 0.000 0.000 0.000 1
Ti1 0.000 0.250 0.630 1
O1 0.000 0.029 0.747 1
O2 0.247 0.250 0.993 1
```



no.,electronic total energy (eV per atom),magnetization (μB per atom)
1,-7.904,0.0000
2,-11.016,0.0001
3,-2.527,0.5502
4,-3.390,0.2508
5,-5.040,0.0000
6,-7.744,0.0000